# KSn2Rh

An optimized crystal structure of KSn2Rh (PBE-GGA, Alexandria via LeMat-Bulk).

```
KSn2Rh
1.0
4.476 0.000 0.000
-2.238 3.876 0.000
0.000 0.000 20.037
K Sn Rh
3 6 3
direct
0.000 0.000 0.000 K
0.333 0.667 0.667 K
0.667 0.333 0.333 K
0.000 0.000 0.548 Sn
0.000 0.000 0.794 Sn
0.333 0.667 0.215 Sn
0.333 0.667 0.460 Sn
0.667 0.333 0.127 Sn
0.667 0.333 0.881 Sn
0.000 0.000 0.174 Rh
0.333 0.667 0.841 Rh
0.667 0.333 0.508 Rh
```

Space-group type: No. 160
Density of states at the Fermi level in states/eV per atom: 0.707
Final energy in eV for the cell shown: -52.71
Energy of formation in eV per atom: -0.279